Record 1
# Cu5Ag2Pd2

Crystalline Cu5Ag2Pd2 at its relaxed geometry (PBE, Alexandria via LeMat-Bulk).

The structure in POSCAR format:
```
Cu5Ag2Pd2
1.0
1.9523 5.6367 0.1586
-1.9523 5.6367 0.1586
0.0000 1.7266 5.8076
Ag Pd Cu
2 2 5
direct
0.8811 0.8811 0.6736
0.1189 0.1189 0.3264
0.4373 0.4373 0.3199
0.5627 0.5627 0.6801
0.6654 0.6654 0.0061
0.7818 0.7818 0.3167
0.0000 0.0000 0.0000
0.2182 0.2182 0.6833
0.3346 0.3346 0.9939
```

Results
- Density: 9.8 g cm⁻³
- Total moment: 0.000 μB per cell
- Final energy: -36.8 eV per formula unit
- Symmetry: No. 12
- E_form: -0.186 eV/f.u.

---

Record 2
# La2CeGe3Pd4

Crystalline La2CeGe3Pd4 at its relaxed geometry (PBE, Alexandria via LeMat-Bulk).

The structure in POSCAR format:
```
La2CeGe3Pd4
1.0
-0.7215 -4.1534 -1.2144
3.3545 -1.3145 2.5030
-6.9464 -1.3136 8.6197
Pd La Ge Ce
4 2 3 1
direct
0.0000 0.5000 0.3425
0.5000 0.5000 0.0000
0.0000 0.0000 0.0000
0.5000 0.0000 0.6575
0.0000 0.5000 0.7768
0.5000 0.0000 0.2232
0.0000 0.0000 0.5000
0.0000 0.5000 0.1191
0.5000 0.0000 0.8809
0.5000 0.5000 0.5000
```

Results
- Density: 8.2 g cm⁻³
- Total moment: 0.430 μB per cell
- Final energy: -58.7 eV per formula unit
- Symmetry: No. 115
- E_form: -8.294 eV/f.u.

---

Record 3
# Hf3CuSi

Crystalline Hf3CuSi at its relaxed geometry (PBE, Alexandria via LeMat-Bulk).

The structure in POSCAR format:
```
Hf3CuSi
1.0
-1.4607 0.2633 4.6183
3.1548 -3.4854 1.1965
3.3831 3.3637 0.8783
Si Hf Cu
1 3 1
direct
0.0000 0.0000 0.0000
0.0000 0.0000 0.5000
0.5000 0.0000 0.0000
0.0000 0.5000 0.0000
0.5000 0.5000 0.5000
```

Results
- Density: 9.1 g cm⁻³
- Total moment: 0.000 μB per cell
- Final energy: -37.0 eV per formula unit
- Symmetry: No. 221
- ΔE_f (raw): 2.4 eV/f.u.
- Energy above the lowest structure with this stoichiometry: 0.00 eV/f.u.

---

Record 4
# UFe5Si3

Crystalline UFe5Si3 at its relaxed geometry (PBE, Alexandria via LeMat-Bulk).

The structure in POSCAR format:
```
UFe5Si3
1.0
-1.1048 -0.4613 3.7321
-3.3213 -1.7046 -1.1938
3.3938 -6.7333 0.1724
U Si Fe
1 3 5
direct
0.0000 0.0000 0.0000
0.5000 0.5000 0.1574
0.0000 0.0000 0.5000
0.5000 0.5000 0.8426
0.0000 0.5000 0.3119
0.0000 0.5000 0.6881
0.5000 0.0000 0.6881
0.5000 0.0000 0.3119
0.5000 0.5000 0.5000
```

Results
- Density: 8.6 g cm⁻³
- Total moment: 2.885 μB per cell
- Final energy: -73.8 eV per formula unit
- Symmetry: No. 123
- ΔE_f (raw): -3.9 eV/f.u.

---

Record 5
# BaZr2Al

Crystalline BaZr2Al at its relaxed geometry (PBE, Alexandria via LeMat-Bulk).

The structure in POSCAR format:
```
BaZr2Al
1.0
5.3436 -0.0040 0.0000
0.0193 5.3437 0.0000
0.0000 0.0000 3.4289
Ba Zr Al
1 2 1
direct
0.0000 0.5000 0.5000
0.5000 0.5000 0.0000
0.0000 0.0000 0.0000
0.5000 0.0000 0.5000
```

Results
- Density: 5.9 g cm⁻³
- Total moment: 0.000 μB per cell
- Final energy: -20.8 eV per formula unit
- Symmetry: No. 65
- E_form: 2.011 eV/f.u.

---

Record 6
# MnCrFe2

Crystalline MnCrFe2 at its relaxed geometry (PBE, Alexandria via LeMat-Bulk).

The structure in POSCAR format:
```
MnCrFe2
1.0
4.0229 0.0000 0.0000
2.0115 3.4839 0.0000
2.0115 1.1613 3.2847
Cr Fe Mn
1 2 1
direct
0.5000 0.5000 0.5000
0.2500 0.2500 0.2500
0.0000 0.0000 0.0000
0.7500 0.7500 0.7500
```

Results
- Density: 7.9 g cm⁻³
- Total moment: 4.898 μB per cell
- Final energy: -35.6 eV per formula unit
- Symmetry: No. 216
- E_form: 0.166 eV/f.u.

---

Record 7
# Ac2Nd5Y5

Crystalline Ac2Nd5Y5 at its relaxed geometry (PBE, Alexandria via LeMat-Bulk).

The structure in POSCAR format:
```
Ac2Nd5Y5
1.0
5.1149 0.0000 1.1147
2.1307 7.5493 2.5155
0.2765 -0.1390 11.0238
Ac Nd Y
2 5 5
direct
0.0819 0.5838 0.2523
0.9181 0.4162 0.7477
0.3340 0.3313 0.0007
0.5873 0.0761 0.7492
0.5000 0.5000 0.5000
0.6660 0.6687 0.9993
0.4127 0.9239 0.2508
0.7529 0.2443 0.2499
0.0000 0.0000 0.0000
0.1706 0.1599 0.4988
0.2471 0.7557 0.7501
0.8294 0.8401 0.5012
```

Results
- Density: 6.3 g cm⁻³
- Total moment: 0.000 μB per cell
- Final energy: -64.0 eV per formula unit
- Symmetry: No. 12
- E_form: 0.365 eV/f.u.

---

Record 8
# DyScBeGa

Crystalline DyScBeGa at its relaxed geometry (PBE, Alexandria via LeMat-Bulk).

The structure in POSCAR format:
```
DyScBeGa
1.0
4.7872 0.0000 0.0000
2.3936 4.1458 0.0000
2.3936 1.3819 3.9087
Dy Ga Be Sc
1 1 1 1
direct
0.7500 0.7500 0.7500
0.5000 0.5000 0.5000
0.0000 0.0000 0.0000
0.2500 0.2500 0.2500
```

Results
- Density: 6.1 g cm⁻³
- Total moment: 0.000 μB per cell
- Final energy: -18.8 eV per formula unit
- Symmetry: No. 216
- E_form: -1.090 eV/f.u.

---

Record 9
# Er4Tl3Cd2

Crystalline Er4Tl3Cd2 at its relaxed geometry (PBE, Alexandria via LeMat-Bulk).

The structure in POSCAR format:
```
Er4Tl3Cd2
1.0
5.1710 0.0003 0.0001
2.5852 4.4449 0.5676
-0.0008 -1.3003 10.2896
Er Cd Tl
4 2 3
direct
0.0003 0.9994 0.3268
0.6665 0.6669 0.8895
0.9997 0.0006 0.6732
0.3335 0.3331 0.1105
0.3331 0.3337 0.7937
0.6669 0.6663 0.2063
0.3335 0.3330 0.4373
0.6665 0.6670 0.5627
0.0000 0.0000 0.0000
```

Results
- Density: 10.4 g cm⁻³
- Total moment: 0.000 μB per cell
- Final energy: -29.2 eV per formula unit
- Symmetry: No. 12
- E_form: -1.987 eV/f.u.

---

Record 10
# AcCuAg2

Crystalline AcCuAg2 at its relaxed geometry (PBE, Alexandria via LeMat-Bulk).

The structure in POSCAR format:
```
AcCuAg2
1.0
3.5845 0.0000 0.0000
0.0000 3.5845 0.0000
0.0000 0.0000 7.0761
Ag Ac Cu
2 1 1
direct
0.0000 0.0000 0.8088
0.0000 0.0000 0.1912
0.5000 0.5000 0.5000
0.5000 0.5000 0.0000
```

Results
- Density: 9.2 g cm⁻³
- Total moment: 0.000 μB per cell
- Final energy: -13.8 eV per formula unit
- Symmetry: No. 123
- E_form: 0.135 eV/f.u.
- Energy above the lowest structure with this stoichiometry: 0.90 eV/f.u.

---

Record 11
# NaAgAs2Se

Crystalline NaAgAs2Se at its relaxed geometry (PBE, Alexandria via LeMat-Bulk).

The structure in POSCAR format:
```
NaAgAs2Se
1.0
-3.1105 3.8856 -0.7696
0.1168 -0.8881 -4.9561
-4.2074 -3.2716 0.4871
Se Na As Ag
1 1 2 1
direct
0.0000 0.0000 0.5000
0.5000 0.5000 0.5000
0.5000 0.0000 0.0000
0.0000 0.5000 0.0000
0.0000 0.0000 0.0000
```

Results
- Density: 4.4 g cm⁻³
- Total moment: 0.690 μB per cell
- Final energy: -15.0 eV per formula unit
- Symmetry: No. 123
- ΔE_f (raw): 2.0 eV/f.u.
- Energy above the lowest structure with this stoichiometry: 0.00 eV/f.u.

---

Record 12
# KHg2As

Crystalline KHg2As at its relaxed geometry (PBE, Alexandria via LeMat-Bulk).

The structure in POSCAR format:
```
KHg2As
1.0
5.7090 0.0235 0.0000
-1.8219 5.4105 0.0000
0.0000 0.0000 3.5688
Hg K As
2 1 1
direct
0.0000 0.0000 0.0000
0.5000 0.5000 0.0000
0.5000 0.0000 0.5000
0.0000 0.5000 0.5000
```

Results
- Density: 7.7 g cm⁻³
- Total moment: 0.000 μB per cell
- Final energy: -5.9 eV per formula unit
- Symmetry: No. 65
- E_form: 0.441 eV/f.u.

---

Number 1: D(E_F) 0.284 states/eV/atom. Number 2: D(E_F) 1.057 states/eV/atom. Number 3: D(E_F) 0.728 states/eV/atom. Number 4: D(E_F) 0.802 states/eV/atom. Number 5: D(E_F) 1.293 states/eV/atom. Number 6: D(E_F) 0.549 states/eV/atom. Number 7: D(E_F) 1.543 states/eV/atom. Number 8: D(E_F) 0.840 states/eV/atom. Number 9: D(E_F) 0.763 states/eV/atom. Number 10: D(E_F) 0.471 states/eV/atom. Number 11: D(E_F) 0.777 states/eV/atom. Number 12: D(E_F) 0.618 states/eV/atom.